Entry 1:
DFT (GGA-PBE) results for crystalline Tm4GeIr at its relaxed geometry.

Calculated values
SG = I4/mcm, No. 140
formation energy from the elements = -0.639 eV/atom
total magnetic moment = 0.0 μB per formula unit

abc: 8.4213 8.4213 8.4213
angles: 132.91 132.91 68.80
With the nearest neighbours (Å) after each atom.
Sites, in units of the cell vectors:
1 Tm 0.1227 0.6227 0.9830  2 Ir 2.83-2.96, 2 Ge 3.00
2 Tm 0.1397 0.1227 0.5000  2 Ir 2.83-2.96, 2 Ge 3.00
3 Tm 0.3603 0.8603 0.9830  2 Ir 2.83-2.96, 2 Ge 3.00
4 Tm 0.3773 0.3603 0.5000  2 Ir 2.83-2.96, 2 Ge 3.00
5 Tm 0.6227 0.6397 0.5000  2 Ir 2.83-2.96, 2 Ge 3.00
6 Tm 0.6397 0.1397 0.0170  2 Ir 2.83-2.96, 2 Ge 3.00
7 Tm 0.8603 0.8773 0.5000  2 Ir 2.83-2.96, 2 Ge 3.00
8 Tm 0.8773 0.3773 0.0170  2 Ir 2.83-2.96, 2 Ge 3.00
9 Ge 0.2500 0.2500 0.0000  8 Tm 3.00
10 Ge 0.7500 0.7500 0.0000  8 Tm 3.00
11 Ir 0.0000 0.5000 0.5000  8 Tm 2.83-2.96
12 Ir 0.5000 0.0000 0.5000  8 Tm 2.83-2.96

Entry 2:
DFT (GGA-PBE) results for crystalline HPtN at its relaxed geometry.

Calculated values
SG = P-1, No. 2
total energy = -0.21019 hartree per atom
total magnetic moment = 0.0 μB per formula unit

abc: 2.9881 3.0101 7.8251
angles: 89.42 89.46 72.61
With the nearest neighbours (Å) after each atom.
Sites, in units of the cell vectors:
1 H 0.1299 0.1321 0.1493  3 Pt 1.78-1.89
2 H 0.8701 0.8679 0.8507  3 Pt 1.78-1.89
3 Pt 0.4971 0.5008 0.1655  3 H 1.78-1.89
4 Pt 0.5029 0.4992 0.8345  3 H 1.78-1.89
5 N 0.4984 0.5026 0.4273  1 N 1.14
6 N 0.5016 0.4974 0.5727  1 N 1.14

Entry 3:
DFT (GGA-PBE) results for crystalline Tc2TeRh at its relaxed geometry.

Calculated values
SG = I-42d, No. 122
total energy = -0.25381 hartree per atom
total magnetic moment = 0.0 μB per formula unit

abc: 7.0011 7.0011 7.0011
angles: 131.39 131.39 71.19
With the nearest neighbours (Å) after each atom.
Sites, in units of the cell vectors:
1 Tc 0.0920 0.6250 0.9670  2 Rh 2.38, 2 Te 2.60
2 Tc 0.3750 0.3420 0.4670  2 Rh 2.38, 2 Te 2.60
3 Tc 0.6580 0.1250 0.0330  2 Rh 2.38, 2 Te 2.60
4 Tc 0.8750 0.9080 0.5330  2 Rh 2.38, 2 Te 2.60
5 Te 0.2500 0.7500 0.5000  4 Tc 2.60
6 Te 0.5000 0.5000 0.0000  4 Tc 2.60
7 Rh 0.0000 0.0000 0.0000  4 Tc 2.38
8 Rh 0.7500 0.2500 0.5000  4 Tc 2.38

Entry 4:
DFT (GGA-PBE) results for crystalline Nd2Er2Th3 at its relaxed geometry.

Calculated values
SG = Cmmm, No. 65
formation energy from the elements = 0.075 eV/atom
total magnetic moment = 0.0 μB per formula unit

abc: 18.4729 18.4729 3.5527
angles: 90.00 90.00 168.99
With the nearest neighbours (Å) after each atom.
Sites, in units of the cell vectors:
1 Nd 0.2076 0.7924 0.0000  6 Nd 3.55-3.59, 4 Er 3.61
2 Nd 0.7924 0.2076 0.0000  6 Nd 3.55-3.59, 4 Er 3.61
3 Er 0.3631 0.6369 0.5000  4 Th 3.55, 4 Er 3.55, 4 Nd 3.61
4 Er 0.6369 0.3631 0.5000  4 Th 3.55, 4 Er 3.55, 4 Nd 3.61
5 Th 0.0688 0.9312 0.0000  4 Er 3.55, 8 Th 3.55-3.56
6 Th 0.5000 0.5000 0.5000  12 Th 3.55-3.56
7 Th 0.9312 0.0688 0.0000  4 Er 3.55, 8 Th 3.55-3.56

Entry 5:
DFT (GGA-PBE) results for crystalline SiSbI2F at its relaxed geometry.

Calculated values
energy above the most stable polymorph in this dataset = 35 meV per atom
SG = P4/mmm, No. 123
total magnetic moment = 0.0 μB per formula unit

abc: 5.3931 5.3931 5.3235
angles: 90.00 90.00 90.00
With the nearest neighbours (Å) after each atom.
Sites, in units of the cell vectors:
1 Si 0.0000 0.0000 0.0000  2 Sb 2.66, 4 I 2.70
2 Sb 0.0000 0.0000 0.5000  2 Si 2.66
3 I 0.0000 0.5000 0.0000  2 Si 2.70
4 I 0.5000 0.0000 0.0000  2 Si 2.70
5 F 0.5000 0.5000 0.5000  8 I 3.79, 4 Sb 3.81

Entry 6:
DFT (GGA-PBE) results for crystalline RbMgZnCo2 at its relaxed geometry.

Calculated values
SG = P4/mmm, No. 123
formation energy from the elements = 1.365 eV/atom
total magnetic moment = 3.1 μB per formula unit

abc: 4.8601 4.8601 6.2286
angles: 90.00 90.00 90.00
With the nearest neighbours (Å) after each atom.
Sites, in units of the cell vectors:
1 Rb 0.0000 0.0000 0.0000  2 Mg 3.11, 4 Zn 3.44
2 Mg 0.0000 0.0000 0.5000  4 Co 2.43
3 Zn 0.5000 0.5000 0.0000  4 Rb 3.44
4 Co 0.0000 0.5000 0.5000  2 Mg 2.43
5 Co 0.5000 0.0000 0.5000  2 Mg 2.43

Entry 7:
DFT (GGA-PBE) results for crystalline Tb2Pm2Se2S3 at its relaxed geometry.

Calculated values
SG = I4/mmm, No. 139
total energy = -0.21810 hartree per atom
total magnetic moment = 0.0 μB per formula unit

abc: 8.3905 8.3905 8.3905
angles: 142.40 142.40 54.22
With the nearest neighbours (Å) after each atom.
Sites, in units of the cell vectors:
1 Tb 0.0000 0.5000 0.5000  2 S 2.70
2 Tb 0.5000 0.0000 0.5000  2 S 2.70
3 Pm 0.2013 0.2013 0.0000  5 S 2.80-3.01, 1 Se 2.94
4 Pm 0.7987 0.7987 0.0000  5 S 2.80-3.01, 1 Se 2.94
5 Se 0.3981 0.3981 0.0000  1 Pm 2.94, 1 Se 3.04, 4 Tb 3.10
6 Se 0.6019 0.6019 0.0000  1 Pm 2.94, 1 Se 3.04, 4 Tb 3.10
7 S 0.0000 0.0000 0.0000  4 Tb 2.70, 2 Pm 3.01
8 S 0.2500 0.7500 0.5000  4 Pm 2.80
9 S 0.7500 0.2500 0.5000  4 Pm 2.80